First-principles (meta-GGA SCAN) data for a PBEsol-optimized structure of Sc3AlFe, as listed in Alexandria via LeMat-Bulk.

Output
mass density: 2.84 g cm⁻³
size of the total moment: 0.60 μB/atom
formation energy from the elements: 0.81 eV/atom

Lattice parameters (Å, degrees): 5.0321 5.0321 5.0321 90.00 90.00 90.00
With the nearest neighbours (Å) after each atom.
Space group Pm-3m (No. 221)
Symmetry-distinct sites (fractional):
Sc  0.0000  0.0000  0.5000 [3 per cell]  2 Al 2.52
Al  0.0000  0.0000  0.0000 [1 per cell]  6 Sc 2.52
Fe  0.5000  0.5000  0.5000 [1 per cell]  12 Sc 3.56

First-principles (meta-GGA SCAN) data for a PBEsol-optimized structure of Mg5Zn, as listed in Alexandria via LeMat-Bulk.

Output
mass density: 2.50 g cm⁻³
size of the total moment: 0.00 μB/atom
formation energy from the elements: -0.01 eV/atom

Lattice parameters (Å, degrees): 4.9620 3.1357 15.9605 90.00 90.00 90.00
With the nearest neighbours (Å) after each atom.
Space group Amm2 (No. 38)
Symmetry-distinct sites (fractional):
Mg  0.0000  0.0000  0.0000 [2 per cell]  2 Zn 2.97, 10 Mg 3.04-3.30
Mg  0.0000  0.0000  0.3181 [2 per cell]  2 Zn 3.00, 10 Mg 3.03-3.30
Mg  0.5000  0.0000  0.2091 [2 per cell]  8 Mg 2.99-3.17, 4 Zn 3.05
Mg  0.5000  0.0000  0.5493 [2 per cell]  10 Mg 2.99-3.14, 2 Zn 3.03
Mg  0.5000  0.0000  0.8814 [2 per cell]  12 Mg 3.10-3.17
Zn  0.0000  0.0000  0.6579 [2 per cell]  10 Mg 2.97-3.05, 2 Zn 3.14